Entry 1:
The following is a GGA-PBE calculation of crystalline K2AgF at its relaxed geometry, from Alexandria via LeMat-Bulk.

a = 5.456 Å, b = 5.456 Å, c = 3.785 Å
α = 90.00°, β = 90.00°, γ = 90.00°
Sites, in units of the cell vectors:
K 0.000 0.500 0.000
K 0.500 0.000 0.000
Ag 0.000 0.000 0.500
F 0.500 0.500 0.500

Output
formation energy (no corrections)	-1037	meV/atom
final energy	-2.77	eV/atom


Entry 2:
The following is a GGA-PBE calculation of crystalline LaTh2Tc at its relaxed geometry, from Alexandria via LeMat-Bulk.

a = 9.020 Å, b = 9.020 Å, c = 9.020 Å
α = 26.32°, β = 26.32°, γ = 26.32°
Sites, in units of the cell vectors:
La 0.000 0.000 0.000
Th 0.228 0.228 0.228
Th 0.447 0.447 0.447
Tc 0.841 0.841 0.841

Output
calculated formation energy	1.0	kcal/mol of atoms
final energy	-7.49	eV/atom


Entry 3:
The following is a GGA-PBE calculation of crystalline NaSi2Au8 at its relaxed geometry, from Alexandria via LeMat-Bulk.

a = 5.663 Å, b = 5.663 Å, c = 7.932 Å
α = 90.00°, β = 90.00°, γ = 90.00°
Sites, in units of the cell vectors:
Na 0.000 0.000 0.000
Si 0.000 0.500 0.500
Si 0.500 0.000 0.500
Au 0.251 0.251 0.298
Au 0.251 0.251 0.702
Au 0.251 0.749 0.298
Au 0.251 0.749 0.702
Au 0.749 0.251 0.298
Au 0.749 0.251 0.702
Au 0.749 0.749 0.298
Au 0.749 0.749 0.702

Output
formation energy (no corrections)	66	meV/atom
final energy	-3.42	eV/atom


Entry 4:
The following is a GGA-PBE calculation of crystalline TlSb2Rh2 at its relaxed geometry, from Alexandria via LeMat-Bulk.

a = 6.264 Å, b = 6.264 Å, c = 6.264 Å
α = 136.40°, β = 136.40°, γ = 63.36°
Sites, in units of the cell vectors:
Tl 0.000 0.000 0.000
Sb 0.250 0.750 0.500
Sb 0.750 0.250 0.500
Rh 0.372 0.372 0.000
Rh 0.628 0.628 0.000

Output
formation energy (no corrections)	-50	meV/atom
final energy	-5.11	eV/atom


Entry 5:
The following is a GGA-PBE calculation of crystalline Cs2BeCdCl6 at its relaxed geometry, from Alexandria via LeMat-Bulk.

a = 7.524 Å, b = 7.524 Å, c = 7.524 Å
α = 123.30°, β = 123.30°, γ = 84.37°
Sites, in units of the cell vectors:
Cs 0.250 0.750 0.500
Cs 0.750 0.250 0.500
Be 0.000 0.000 0.000
Cd 0.500 0.500 0.000
Cl 0.215 0.215 0.430
Cl 0.215 0.785 0.000
Cl 0.281 0.281 0.000
Cl 0.719 0.719 0.000
Cl 0.785 0.215 0.000
Cl 0.785 0.785 0.570

Output
formation energy (no corrections)	-1440	meV/atom
final energy	-3.18	eV/atom


Entry 6:
The following is a GGA-PBE calculation of crystalline CaY2Ta at its relaxed geometry, from Alexandria via LeMat-Bulk.

a = 5.433 Å, b = 5.433 Å, c = 5.433 Å
α = 60.00°, β = 60.00°, γ = 60.00°
Sites, in units of the cell vectors:
Ca 0.000 0.000 0.000
Y 0.250 0.250 0.250
Y 0.500 0.500 0.500
Ta 0.750 0.750 0.750

Output
calculated formation energy	14.1	kcal/mol of atoms
final energy	-6.09	eV/atom


Entry 7:
The following is a GGA-PBE calculation of crystalline DyBe2Ni2 at its relaxed geometry, from Alexandria via LeMat-Bulk.

a = 7.647 Å, b = 6.592 Å, c = 5.193 Å
α = 79.95°, β = 58.09°, γ = 41.96°
Sites, in units of the cell vectors:
Dy 0.125 0.125 0.125
Dy 0.875 0.875 0.875
Be 0.189 0.561 0.189
Be 0.439 0.811 0.439
Be 0.561 0.189 0.561
Be 0.811 0.439 0.811
Ni 0.261 0.261 0.489
Ni 0.489 0.489 0.261
Ni 0.511 0.511 0.739
Ni 0.739 0.739 0.511

Output
calculated formation energy	-7.4	kcal/mol of atoms
final energy	-5.04	eV/atom


Entry 8:
The following is a GGA-PBE calculation of crystalline CsCa3S at its relaxed geometry, from Alexandria via LeMat-Bulk.

a = 5.906 Å, b = 5.906 Å, c = 5.906 Å
α = 90.00°, β = 90.00°, γ = 90.00°
Sites, in units of the cell vectors:
Cs 0.000 0.000 0.000
Ca 0.000 0.500 0.500
Ca 0.500 0.000 0.500
Ca 0.500 0.500 0.000
S 0.500 0.500 0.500

Output
formation energy (no corrections)	-434	meV/atom
final energy	-2.63	eV/atom